Material: Cd12Bi5I3
Method: DFT, PBE-GGA
State: optimized geometry

Results
Density of states at the Fermi level in states/eV/cell: 34.525
Formation energy (no corrections) in eV per formula unit: 1.4

abc: 15.889 15.889 15.889
angles: 109.47 109.47 109.47
Atoms (fractional coordinates):
Cd1 0.021 0.208 0.070
Cd2 0.021 0.312 0.951
Cd3 0.049 0.570 0.361
Cd4 0.049 0.979 0.688
Cd5 0.070 0.021 0.208
Cd6 0.070 0.549 0.861
Cd7 0.139 0.708 0.688
Cd8 0.139 0.930 0.451
Cd9 0.188 0.208 0.639
Cd10 0.188 0.479 0.549
Cd11 0.208 0.070 0.021
Cd12 0.208 0.639 0.188
Cd13 0.292 0.312 0.861
Cd14 0.292 0.479 0.430
Cd15 0.312 0.861 0.292
Cd16 0.312 0.951 0.021
Cd17 0.361 0.049 0.570
Cd18 0.361 0.812 0.792
Cd19 0.430 0.292 0.479
Cd20 0.430 0.639 0.951
Cd21 0.451 0.139 0.930
Cd22 0.451 0.812 0.521
Cd23 0.479 0.430 0.292
Cd24 0.479 0.549 0.188
Cd25 0.521 0.451 0.812
Cd26 0.521 0.570 0.708
Cd27 0.549 0.188 0.479
Cd28 0.549 0.861 0.070
Cd29 0.570 0.361 0.049
Cd30 0.570 0.708 0.521
Cd31 0.639 0.188 0.208
Cd32 0.639 0.951 0.430
Cd33 0.688 0.049 0.979
Cd34 0.688 0.139 0.708
Cd35 0.708 0.521 0.570
Cd36 0.708 0.688 0.139
Cd37 0.792 0.361 0.812
Cd38 0.792 0.930 0.979
Cd39 0.812 0.521 0.451
Cd40 0.812 0.792 0.361
Cd41 0.861 0.070 0.549
Cd42 0.861 0.292 0.312
Cd43 0.930 0.451 0.139
Cd44 0.930 0.979 0.792
Cd45 0.951 0.021 0.312
Cd46 0.951 0.430 0.639
Cd47 0.979 0.688 0.049
Cd48 0.979 0.792 0.930
Bi1 0.000 0.000 0.000
Bi2 0.000 0.000 0.500
Bi3 0.000 0.500 0.000
Bi4 0.000 0.500 0.500
Bi5 0.125 0.750 0.875
Bi6 0.125 0.875 0.250
Bi7 0.250 0.125 0.875
Bi8 0.250 0.625 0.375
Bi9 0.375 0.250 0.625
Bi10 0.375 0.625 0.750
Bi11 0.500 0.000 0.000
Bi12 0.500 0.000 0.500
Bi13 0.500 0.500 0.000
Bi14 0.500 0.500 0.500
Bi15 0.625 0.375 0.250
Bi16 0.625 0.750 0.375
Bi17 0.750 0.375 0.625
Bi18 0.750 0.875 0.125
Bi19 0.875 0.125 0.750
Bi20 0.875 0.250 0.125
I1 0.125 0.250 0.375
I2 0.125 0.375 0.750
I3 0.250 0.375 0.125
I4 0.250 0.875 0.625
I5 0.375 0.125 0.250
I6 0.375 0.750 0.125
I7 0.625 0.250 0.875
I8 0.625 0.875 0.750
I9 0.750 0.125 0.375
I10 0.750 0.625 0.875
I11 0.875 0.625 0.250
I12 0.875 0.750 0.625

Material: Cd2BiI
Method: DFT, PBE-GGA
State: optimized geometry

Results
Density of states at the Fermi level in states/eV/cell: 2.382
Polymorph energy (0 for the lowest one) in meV/atom: 342
Formation energy (no corrections) in eV per formula unit: 0.7

abc: 5.518 5.518 5.518
angles: 60.00 60.00 60.00
Atoms (fractional coordinates):
Cd1 0.250 0.250 0.250
Cd2 0.750 0.750 0.750
Bi1 0.000 0.000 0.000
I1 0.500 0.500 0.500

Material: CdInBi2I
Method: DFT, PBE-GGA
State: optimized geometry

Results
Density of states at the Fermi level in states/eV/cell: 4.781
Formation energy (no corrections) in eV per formula unit: 2.4

abc: 5.932 5.932 6.106
angles: 90.00 90.00 90.00
Atoms (fractional coordinates):
Cd1 0.000 0.000 0.000
In1 0.500 0.500 0.500
Bi1 0.000 0.500 0.500
Bi2 0.500 0.000 0.500
I1 0.500 0.500 0.000

Material: CdBiIr2I
Method: DFT, PBE-GGA
State: optimized geometry

Results
Density of states at the Fermi level in states/eV/cell: 3.703
Formation energy (no corrections) in eV per formula unit: 7.5

abc: 4.956 4.956 5.466
angles: 90.00 90.00 90.00
Atoms (fractional coordinates):
Cd1 0.000 0.000 0.000
Bi1 0.500 0.500 0.000
Ir1 0.000 0.500 0.500
Ir2 0.500 0.000 0.500
I1 0.000 0.000 0.500

Material: CdBiIN2
Method: DFT, PBE-GGA
State: optimized geometry

Results
Density of states at the Fermi level in states/eV/cell: 1.595
Polymorph energy (0 for the lowest one) in meV/atom: 302
Formation energy (no corrections) in eV per formula unit: 8.2

abc: 4.597 4.597 6.098
angles: 90.00 90.00 90.00
Atoms (fractional coordinates):
Cd1 0.000 0.000 0.000
Bi1 0.500 0.500 0.500
I1 0.000 0.000 0.500
N1 0.000 0.500 0.000
N2 0.500 0.000 0.000

Material: CdBiIN2
Method: DFT, PBE-GGA
State: optimized geometry

Results
Density of states at the Fermi level in states/eV/cell: 3.134
Polymorph energy (0 for the lowest one) in meV/atom: 0
Formation energy (no corrections) in eV per formula unit: 6.7

abc: 4.406 4.406 7.325
angles: 90.00 90.00 90.00
Atoms (fractional coordinates):
Cd1 0.000 0.000 0.000
Bi1 0.500 0.500 0.500
I1 0.500 0.500 0.000
N1 0.000 0.500 0.500
N2 0.500 0.000 0.500

Material: Na2CdBiI6
Method: DFT, PBE-GGA
State: optimized geometry

Results
Density of states at the Fermi level in states/eV/cell: 3.917
Formation energy (no corrections) in eV per formula unit: -7.0

abc: 7.997 8.000 8.692
angles: 62.75 62.84 60.18
Atoms (fractional coordinates):
Na1 0.000 0.000 0.000
Na2 0.495 0.494 0.513
Cd1 0.306 0.306 0.081
Bi1 0.810 0.810 0.569
I1 0.074 0.694 0.805
I2 0.196 0.577 0.303
I3 0.428 0.073 0.810
I4 0.579 0.916 0.303
I5 0.693 0.427 0.807
I6 0.918 0.198 0.303

Material: Cd2BiIO
Method: DFT, PBE-GGA
State: optimized geometry

Results
Density of states at the Fermi level in states/eV/cell: 1.075
Formation energy (no corrections) in eV per formula unit: -0.8

abc: 5.900 5.900 4.365
angles: 90.00 90.00 90.00
Atoms (fractional coordinates):
Cd1 0.000 0.500 0.000
Cd2 0.500 0.000 0.000
Bi1 0.000 0.000 0.000
I1 0.500 0.500 0.500
O1 0.000 0.000 0.500

no.,calculated volume (A^3/atom)
1,38.60
2,29.71
3,42.98
4,26.85
5,25.77
6,28.44
7,40.96
8,30.38